Material: CuBiF
Method: DFT, PBE
State: optimized geometry

```
6
Lattice="4.043 0.000 0.000 0.000 4.197 0.000 -1.373 0.000 6.531" Properties=species:S:1:pos:R:3 pbc="T T T"
Cu -0.141 0.000 0.703
Cu 2.811 2.098 5.829
Bi 0.686 0.001 5.186
Bi 1.984 2.100 1.345
F 0.385 0.111 2.617
F 2.285 2.210 3.914
```

DOS(E_F) (states/eV/atom): 0.314
Final energy (eV per atom): -4.081
SG: P2_1, No. 4
Formation energy (no corrections) (meV/atom): -798
Offset from the most stable computed form (kJ/mol of atoms): 0.0